{"formula": "KPt2Pb4", "functional": "GGA-PBE", "state": "relaxed", "space_group": "Pnma", "crystal_system": "orthorhombic", "delta_e_f_mev_per_atom": -242, "energy_ev_per_atom": -4.24, "polymorph_energy_kj_per_mol_fu": 0.0, "lattice_angstrom": [[4.7773, 0.0000, 0.0000], [0.0000, 7.6211, 0.0000], [0.0000, 0.0000, 19.9715]], "species": ["Pt", "Pt", "Pt", "Pt", "Pt", "Pt", "Pt", "Pt", "Pb", "Pb", "Pb", "Pb", "Pb", "Pb", "Pb", "Pb", "Pb", "Pb", "Pb", "Pb", "Pb", "Pb", "Pb", "Pb", "K", "K", "K", "K"], "frac_coords": [[0.2500, 0.9845, 0.7872], [0.7500, 0.2496, 0.9645], [0.2500, 0.7496, 0.5355], [0.2500, 0.7504, 0.0355], [0.2500, 0.5155, 0.2872], [0.7500, 0.0155, 0.2128], [0.7500, 0.2504, 0.4645], [0.7500, 0.4845, 0.7128], [0.2500, 0.0178, 0.9318], [0.2500, 0.2761, 0.6943], [0.7500, 0.2992, 0.3176], [0.7500, 0.7761, 0.8057], [0.2500, 0.3624, 0.0332], [0.7500, 0.8624, 0.4668], [0.7500, 0.5178, 0.5682], [0.2500, 0.4822, 0.4318], [0.2500, 0.7008, 0.6824], [0.7500, 0.2008, 0.8176], [0.2500, 0.1376, 0.5332], [0.2500, 0.7992, 0.1824], [0.7500, 0.7239, 0.3057], [0.7500, 0.9822, 0.0682], [0.7500, 0.6376, 0.9668], [0.2500, 0.2239, 0.1943], [0.7500, 0.5073, 0.1419], [0.7500, 0.9927, 0.6419], [0.2500, 0.4927, 0.8581], [0.2500, 0.0073, 0.3581]]}